First-principles (PBE-GGA) data for a relaxed ScMoAu crystal, as listed in Alexandria.

Unit cell a=4.7039 b=4.7039 c=2.8839 alpha=90.00 beta=90.00 gamma=120.00
Element x y z (fractional)
1 Mo 0.3333 0.6667 0.1668
2 Sc 0.6667 0.3333 0.6667
3 Au 0.0000 0.0000 0.1665

Excess energy over the best structure of this formula in the dataset in eV/atom: 0.1606
Calculated formation energy in meV/atom: 90
Space-group type: No. 187

First-principles (PBE-GGA) data for a relaxed LaGeSN2 crystal, as listed in Alexandria.

Unit cell a=3.9921 b=3.9921 c=4.8134 alpha=90.00 beta=90.00 gamma=90.00
Site moments in Bohr magnetons follow the coordinates.
Element x y z (fractional)
1 La 0.5000 0.5000 0.5000  0.00
2 Ge 0.0000 0.0000 0.0000  -0.01
3 S 0.0000 0.0000 0.5000  0.00
4 N 0.5000 0.0000 0.0000  0.19
5 N 0.0000 0.5000 0.0000  0.19

Energy relative to the elements, uncorrected in eV/atom: -0.182
Excess energy over the best structure of this formula in the dataset in eV/atom: 0.0000
Space-group type: No. 123

The evaluated theoretical density for the records listed, in turn: 10.15; 5.88 g cm⁻³.
The evaluated V for the records listed, in turn: 55.26; 76.71 Å³/cell.